Record 1
Crystalline Ce2SmCoAu at its relaxed geometry. Source: the Alexandria database, functional GGA-PBE.

Lattice parameters (Å, degrees): 4.8992 4.8982 5.6461 90.00 90.00 90.00
With the nearest neighbours (Å) after each atom.
Atoms (fractional coordinates):
Ce 0.0000 0.5000 0.9713  2 Co 2.45
Ce 0.5000 0.0000 0.9724  2 Co 2.45
Sm 0.0000 0.0000 0.4868  2 Co 2.81-2.83
Co 0.0000 0.0000 0.9889  4 Ce 2.45
Au 0.5000 0.5000 0.5806  4 Ce 3.30, 4 Sm 3.50

Results
For the formation enthalpy at 0 K, the calculation gives -193.7 meV per atom.

=====

Record 2
Crystalline NaNi2H at its relaxed geometry. Source: the Alexandria database, functional GGA-PBE.

Lattice parameters (Å, degrees): 5.2026 5.2026 5.1980 59.97 59.97 90.00
With the nearest neighbours (Å) after each atom.
Atoms (fractional coordinates):
Ni 0.3748 0.1250 0.2500  2 H 1.59
Ni 0.3752 0.6250 0.2500  2 H 1.59
Ni 0.3750 0.6252 0.7500  2 H 1.59
Ni 0.8750 0.6248 0.7500  2 H 1.59
H 0.5000 0.5000 0.0000  4 Ni 1.59
H 0.2500 0.7500 0.5000  4 Ni 1.59
Na 0.0000 0.0000 0.0000  12 Ni 3.05, 4 H 3.18, 4 Na 3.18
Na 0.7500 0.2500 0.5000  12 Ni 3.05, 4 H 3.18, 4 Na 3.18

Results
Its energy above the lowest structure with this stoichiometry is 0 meV/atom.

=====

| no. | E_tot (eV per atom) | mass density (g/cm³) | Fermi-level density of states (states/eV per cell) |
| --- | --- | --- | --- |
| 1 | -5.59 | 8.4 | 10.18 |
| 2 | -3.93 | 4.7 | 8.75 |